Entry 1:
Density functional theory data (PBE) for a geometry-optimized K2Zn structure.

For the volume, the calculation gives 46.3 Å³ per atom. The value obtained for the energy above the lowest structure with this stoichiometry is 44 meV per atom. Its uncorrected energy is -1.03 eV/atom.

Lattice parameters (Å, degrees): 9.230 5.455 11.041 90.00 90.00 90.00
Space group Pnma (No. 62)
Asymmetric unit:
K1 0.027 0.250 0.170 x4
K2 0.148 0.250 0.568 x4
Zn1 0.243 0.750 0.375 x4


Entry 2:
Density functional theory data (PBE) for a geometry-optimized BaZnP2 structure.

For the volume, the calculation gives 25.6 Å³ per atom. Its uncorrected energy is -3.90 eV/atom.

Lattice parameters (Å, degrees): 4.637 6.441 6.870 90.00 90.00 90.00
Space group Immm (No. 71)
Asymmetric unit:
Ba1 0.000 0.000 0.000 x2
Zn1 0.000 0.000 0.500 x2
P1 0.000 0.500 0.159 x4


Entry 3:
Density functional theory data (PBE) for a geometry-optimized HfCrS2N structure.

For the volume, the calculation gives 20.3 Å³ per atom. The value obtained for the energy above the lowest structure with this stoichiometry is 206 meV per atom. For the uncorrected formation energy, the calculation gives -0.058 eV/atom. Its uncorrected energy is -7.29 eV/atom.

Lattice parameters (Å, degrees): 4.983 4.983 4.087 90.00 90.00 90.00
Space group P4/mmm (No. 123)
Asymmetric unit:
Hf1 0.000 0.000 0.000 x1
Cr1 0.500 0.500 0.500 x1
S1 0.000 0.500 0.000 x2
N1 0.000 0.000 0.500 x1


Entry 4:
Density functional theory data (PBE) for a geometry-optimized AgBiPRh2 structure.

For the volume, the calculation gives 21.9 Å³ per atom. Its uncorrected energy is -4.30 eV/atom.

Lattice parameters (Å, degrees): 5.011 5.011 4.364 90.00 90.00 90.00
Space group P4/mmm (No. 123)
Asymmetric unit:
Ag1 0.000 0.000 0.000 x1
Bi1 0.500 0.500 0.500 x1
P1 0.000 0.000 0.500 x1
Rh1 0.000 0.500 0.000 x2


Entry 5:
Density functional theory data (PBE) for a geometry-optimized ZnPtRh2 structure.

For the volume, the calculation gives 14.8 Å³ per atom. Its uncorrected energy is -5.55 eV/atom.

Lattice parameters (Å, degrees): 6.184 6.184 6.184 90.00 90.00 90.00
Space group F-43m (No. 216)
Asymmetric unit:
Zn1 0.000 0.000 0.000 x4
Pt1 0.250 0.250 0.250 x4
Rh1 0.000 0.000 0.500 x4
Rh2 0.250 0.250 0.750 x4


Entry 6:
Density functional theory data (PBE) for a geometry-optimized SbRuC3 structure.

For the volume, the calculation gives 14.3 Å³ per atom. The value obtained for the energy above the lowest structure with this stoichiometry is 1161 meV per atom. For the uncorrected formation energy, the calculation gives 3.219 eV/atom. Its uncorrected energy is -4.99 eV/atom.

Lattice parameters (Å, degrees): 4.151 4.151 4.151 90.00 90.00 90.00
Space group Pm-3m (No. 221)
Asymmetric unit:
Sb1 0.000 0.000 0.000 x1
Ru1 0.500 0.500 0.500 x1
C1 0.000 0.000 0.500 x3


Entry 7:
Density functional theory data (PBE) for a geometry-optimized Ca2TaCd structure.

For the volume, the calculation gives 26.4 Å³ per atom. Its uncorrected energy is -3.77 eV/atom.

Lattice parameters (Å, degrees): 12.157 3.201 5.773 90.00 109.80 90.00
Space group Cm (No. 8)
Asymmetric unit:
Ca1 0.000 0.000 0.000 x2
Ca2 0.204 0.000 0.614 x2
Ta1 0.447 0.000 0.466 x2
Cd1 0.252 0.500 0.140 x2


Entry 8:
Density functional theory data (PBE) for a geometry-optimized Tb4PmHo3 structure.

For the volume, the calculation gives 32.8 Å³ per atom. Its uncorrected energy is -4.41 eV/atom.

Lattice parameters (Å, degrees): 26.050 5.654 3.558 90.00 90.05 90.00
Space group C2/m (No. 12)
Asymmetric unit:
Tb1 0.105 0.000 0.000 x4
Tb2 0.224 0.000 0.999 x4
Pm1 0.000 0.000 0.500 x2
Ho1 0.000 0.500 0.000 x2
Ho2 0.155 0.500 0.499 x4